Record 1
Compound: Rb2LaMoBr6
Source: Alexandria
Functional: PBE
Structure: relaxed

abc: 11.1095 11.1095 11.1095
angles: 90.00 90.00 90.00
Closest atoms and distances in Å follow each position.
Space group Fm-3m (No. 225)
Unique sites:
Rb1 0.2500 0.2500 0.2500 x8  12 Br 3.93
La1 0.0000 0.0000 0.0000 x4  6 Br 2.93
Mo1 0.0000 0.0000 0.5000 x4  6 Br 2.63
Br1 0.0000 0.0000 0.2634 x24  1 Mo 2.63, 1 La 2.93

Record 2
Compound: La2MoSeBr
Source: Alexandria
Functional: PBE
Structure: relaxed

abc: 5.7319 5.7319 4.5246
angles: 90.00 90.00 90.00
Closest atoms and distances in Å follow each position.
Space group P4/mmm (No. 123)
Unique sites:
La1 0.0000 0.5000 0.0000 x2  2 Br 2.87
Mo1 0.0000 0.0000 0.5000 x1  2 Br 2.26
Se1 0.5000 0.5000 0.5000 x1  8 La 3.65, 4 Mo 4.05
Br1 0.0000 0.0000 0.0000 x1  2 Mo 2.26

Record 3
Compound: La2SnMoBr
Source: Alexandria
Functional: PBE
Structure: relaxed

abc: 6.1286 6.1286 5.5362
angles: 90.00 90.00 90.00
Closest atoms and distances in Å follow each position.
Space group P4/mmm (No. 123)
Unique sites:
La1 0.0000 0.5000 0.0000 x2  2 Sn 3.06
Sn1 0.0000 0.0000 0.0000 x1  2 Br 2.77, 4 La 3.06
Mo1 0.5000 0.5000 0.5000 x1  8 La 4.13, 4 Br 4.33
Br1 0.0000 0.0000 0.5000 x1  2 Sn 2.77

Record 4
Compound: SrLaMoBr2
Source: Alexandria
Functional: PBE
Structure: relaxed

abc: 5.2597 5.2597 5.9676
angles: 90.00 90.00 90.00
Closest atoms and distances in Å follow each position.
Space group P4/mmm (No. 123)
Unique sites:
Sr1 0.0000 0.0000 0.0000 x1  2 Mo 2.98
La1 0.5000 0.5000 0.0000 x1  4 Sr 3.72, 8 Br 3.98
Mo1 0.0000 0.0000 0.5000 x1  4 Br 2.63
Br1 0.0000 0.5000 0.5000 x2  2 Mo 2.63

Record 5
Compound: La2TaMoBr
Source: Alexandria
Functional: PBE
Structure: relaxed

abc: 5.6089 5.6089 4.6289
angles: 90.00 90.00 90.00
Closest atoms and distances in Å follow each position.
Space group P4/mmm (No. 123)
Unique sites:
La1 0.0000 0.5000 0.0000 x2  2 Br 2.80
Ta1 0.0000 0.0000 0.5000 x1  8 La 3.64, 4 Mo 3.97
Mo1 0.5000 0.5000 0.5000 x1  2 Br 2.31
Br1 0.5000 0.5000 0.0000 x1  2 Mo 2.31

Record 6
Compound: LaTcMo2Br
Source: Alexandria
Functional: PBE
Structure: relaxed

abc: 4.6239 4.6239 5.4522
angles: 90.00 90.00 90.00
Closest atoms and distances in Å follow each position.
Space group P4/mmm (No. 123)
Unique sites:
La1 0.0000 0.0000 0.0000 x1  2 Br 2.73
Tc1 0.5000 0.5000 0.0000 x1  4 La 3.27, 8 Mo 3.57
Mo1 0.0000 0.5000 0.5000 x2  2 Br 2.31
Br1 0.0000 0.0000 0.5000 x1  4 Mo 2.31

Record 7
Compound: La2TeMoBr
Source: Alexandria
Functional: PBE
Structure: relaxed

abc: 6.0229 6.0229 5.8409
angles: 90.00 90.00 90.00
Closest atoms and distances in Å follow each position.
Space group P4/mmm (No. 123)
Unique sites:
La1 0.0000 0.5000 0.0000 x2  2 Te 3.01
Te1 0.0000 0.0000 0.0000 x1  2 Br 2.92, 4 La 3.01
Mo1 0.5000 0.5000 0.5000 x1  8 La 4.19, 4 Br 4.26
Br1 0.0000 0.0000 0.5000 x1  2 Te 2.92

Record 8
Compound: LaMoWBr2
Source: Alexandria
Functional: PBE
Structure: relaxed

abc: 5.6658 5.6658 6.2369
angles: 90.00 90.00 90.00
Closest atoms and distances in Å follow each position.
Space group P4/mmm (No. 123)
Unique sites:
La1 0.0000 0.0000 0.0000 x1  4 Br 2.83, 2 W 3.12
Mo1 0.5000 0.5000 0.5000 x1  4 W 4.01, 8 Br 4.21
W1 0.0000 0.0000 0.5000 x1  2 La 3.12
Br1 0.0000 0.5000 0.0000 x2  2 La 2.83

Record 9
Compound: La3BrN2
Source: Alexandria
Functional: PBE
Structure: relaxed

abc: 6.7704 11.7851 7.2414
angles: 90.00 90.00 90.00
Closest atoms and distances in Å follow each position.
Space group Imma (No. 74)
Unique sites:
La1 0.2481 0.0000 0.0000 x8  2 N 2.36
La2 0.2500 0.2500 0.2500 x4  4 N 2.63
Br1 0.0000 0.2500 0.6165 x4  6 La 3.15-3.51
N1 0.0000 0.0845 0.1831 x8  4 La 2.36-2.63

Record 10
Compound: LaBrN2
Source: Alexandria
Functional: PBE
Structure: relaxed

Results
**Polymorph energy (0 for the lowest one)**: 0.5365 eV per atom

abc: 6.4932 6.4932 6.4932
angles: 90.00 90.00 90.00
Closest atoms and distances in Å follow each position.
Space group Fm-3m (No. 225)
Unique sites:
La1 0.0000 0.0000 0.0000 x4  8 N 2.81
Br1 0.0000 0.0000 0.5000 x4  8 N 2.81
N1 0.2500 0.2500 0.2500 x8  4 La 2.81, 4 Br 2.81

Record 11
Compound: La2BrN2
Source: Alexandria
Functional: PBE
Structure: relaxed

abc: 14.9133 4.2084 6.7891
angles: 90.00 100.82 90.00
Closest atoms and distances in Å follow each position.
Space group C2/c (No. 15)
Unique sites:
La1 0.1587 0.1876 0.1447 x8  1 N 2.31
Br1 0.0000 0.2887 0.7500 x4  6 La 3.25-3.41
N1 0.2202 0.3612 0.5280 x8  1 N 1.39

Record 12
Compound: La4BrN2
Source: Alexandria
Functional: PBE
Structure: relaxed

Results
**Polymorph energy (0 for the lowest one)**: 0.0874 eV per atom

abc: 13.9337 7.7116 6.8484
angles: 90.00 107.70 90.00
Closest atoms and distances in Å follow each position.
Space group Cm (No. 8)
Unique sites:
La1 0.0000 0.0000 0.0000 x2  3 N 2.59-2.78
La2 0.0012 0.2229 0.5541 x4  3 N 2.49-2.61
La3 0.2644 0.0000 0.6108 x2  3 N 2.43-2.65
La4 0.2863 0.2667 0.0393 x4  2 N 2.53-2.62
La5 0.2913 0.5000 0.5734 x2  3 N 2.57-2.64
La6 0.4883 0.0000 0.9897 x2  2 N 2.51
Br1 0.1402 0.2558 0.2908 x4  6 La 3.03-3.10
N1 0.1228 0.0000 0.7470 x2  3 La 2.43-2.49
N2 0.3889 0.5000 0.2975 x2  6 La 2.61-2.91
N3 0.3901 0.2505 0.7935 x4  6 La 2.51-2.65

Energy relative to the elements, uncorrected
In order: -11.88 -0.01 4.57 2.03 4.50 7.59 3.45 6.78 -6.50 2.56 -6.41 -7.92
Unit: eV per formula unit
Total magnetic moment
In order: 0.100 0.000 1.033 0.153 0.385 0.317 0.889 0.198 0.000 1.000 0.000 0.001
Unit: μB per atom